(1)
The following is a DFT calculation (PBE) of a relaxed TbDy2Ga3PtAu2 crystal.

Results
Calculated total energy   -4.84 eV per atom

Cell: 3.863 12.907 7.446 Å, 90.00 90.00 90.00°
Space group Amm2 (No. 38)
Inequivalent atoms, fractional coordinates:
Tb1 0.000 0.000 0.000 x2
Dy1 0.000 0.201 0.603 x4
Ga1 0.500 0.000 0.652 x2
Ga2 0.500 0.125 0.278 x4
Pt1 0.000 0.000 0.403 x2
Au1 0.500 0.167 0.902 x4


(2)
The following is a DFT calculation (PBE) of a relaxed SrZrB crystal.

Results
Energy above the lowest structure with this stoichiometry   0.000 eV per atom

Cell: 6.422 6.422 6.422 Å, 90.00 90.00 90.00°
Space group F-43m (No. 216)
Inequivalent atoms, fractional coordinates:
Sr1 0.000 0.000 0.000 x4
Zr1 0.000 0.000 0.500 x4
B1 0.250 0.250 0.250 x4


(3)
The following is a DFT calculation (PBE) of a relaxed FeMo4SN2 crystal.

Results
Calculated total energy   -9.02 eV per atom

Cell: 2.9249 2.9249 13.2949 Å, 90.00 90.00 120.00°
Space group P-6m2 (No. 187)
Inequivalent atoms, fractional coordinates:
Fe1 0.0000 0.0000 0.0000 x1
Mo1 0.0000 0.0000 0.3609 x2
Mo2 0.6667 0.3333 0.1573 x2
S1 0.6667 0.3333 0.5000 x1
N1 0.3333 0.6667 0.2569 x2


(4)
The following is a DFT calculation (PBE) of a relaxed LiOsAuSeS2 crystal.

Results
Calculated total energy   -4.92 eV per atom

Cell: 3.134 14.458 9.805 Å, 90.00 90.00 90.00°
Space group Cmcm (No. 63)
Inequivalent atoms, fractional coordinates:
Li1 0.000 0.198 0.250 x4
Os1 0.000 0.500 0.000 x4
Au1 0.000 0.152 0.750 x4
Se1 0.000 0.448 0.750 x4
S1 0.000 0.125 0.516 x8


(5)
The following is a DFT calculation (PBE) of a relaxed Ta6CdSb crystal.

Results
Calculated total energy   -9.41 eV per atom

Cell: 7.4089 7.4089 9.4134 Å, 90.00 90.00 120.00°
Space group R-3 (No. 148, hexagonal axes)
Inequivalent atoms, fractional coordinates:
Ta1 0.0000 0.2423 0.2516 x18
Cd1 0.0000 0.0000 0.0000 x3
Sb1 0.0000 0.0000 0.5000 x3


(6)
The following is a DFT calculation (PBE) of a relaxed ZrTlZnCo crystal.

Results
Energy above the lowest structure with this stoichiometry   0.000 eV per atom

Cell: 6.473 6.473 6.473 Å, 90.00 90.00 90.00°
Space group F-43m (No. 216)
Inequivalent atoms, fractional coordinates:
Zr1 0.000 0.000 0.000 x4
Tl1 0.000 0.000 0.500 x4
Zn1 0.250 0.250 0.250 x4
Co1 0.250 0.250 0.750 x4


(7)
The following is a DFT calculation (PBE) of a relaxed HfTlGaSe3 crystal.

Results
Calculated total energy   -5.09 eV per atom

Cell: 3.814 16.413 10.952 Å, 90.00 90.00 90.00°
Space group Cmcm (No. 63)
Inequivalent atoms, fractional coordinates:
Hf1 0.000 0.000 0.000 x4
Tl1 0.000 0.283 0.250 x4
Ga1 0.000 0.374 0.750 x4
Se1 0.000 0.016 0.250 x4
Se2 0.000 0.387 0.011 x8


(8)
The following is a DFT calculation (PBE) of a relaxed Co17Sn crystal.

Results
Energy above the lowest structure with this stoichiometry   0.006 eV per atom

Cell: 4.9390 4.9390 30.8183 Å, 90.00 90.00 120.00°
Space group P-3m1 (No. 164)
Inequivalent atoms, fractional coordinates:
Co1 0.0000 0.0000 0.0000 x1
Co2 0.0000 0.0000 0.1952 x2
Co3 0.0000 0.5000 0.0000 x3
Co4 0.0031 0.5016 0.1969 x6
Co5 0.1662 0.3325 0.7403 x6
Co6 0.1670 0.3339 0.1302 x6
Co7 0.1671 0.3342 0.9344 x6
Co8 0.3333 0.6667 0.0646 x2
Co9 0.3333 0.6667 0.8673 x2
Sn1 0.3333 0.6667 0.2877 x2


(9)
The following is a DFT calculation (PBE) of a relaxed Tb3SiPt4 crystal.

Results
Calculated total energy   -6.48 eV per atom

Cell: 5.748 4.076 7.083 Å, 90.00 92.35 90.00°
Space group Pm (No. 6)
Inequivalent atoms, fractional coordinates:
Tb1 0.000 0.000 0.000 x1
Tb2 0.244 0.000 0.499 x1
Tb3 0.734 0.500 0.361 x1
Si1 0.488 0.500 0.828 x1
Pt1 0.064 0.500 0.728 x1
Pt2 0.225 0.500 0.215 x1
Pt3 0.516 0.000 0.050 x1
Pt4 0.700 0.000 0.664 x1


(10)
The following is a DFT calculation (PBE) of a relaxed HoBeZn crystal.

Results
Energy above the lowest structure with this stoichiometry   0.429 eV per atom

Cell: 6.423 6.423 6.423 Å, 90.00 90.00 90.00°
Space group F-43m (No. 216)
Inequivalent atoms, fractional coordinates:
Ho1 0.000 0.000 0.000 x4
Be1 0.250 0.250 0.750 x4
Zn1 0.250 0.250 0.250 x4


(11)
The following is a DFT calculation (PBE) of a relaxed PuH crystal.

Results
Calculated total energy   -8.88 eV per atom

Cell: 3.1532 3.1532 3.1984 Å, 90.00 90.00 120.00°
Space group P-6m2 (No. 187)
Inequivalent atoms, fractional coordinates:
Pu1 0.0000 0.0000 0.0000 x1
H1 0.3333 0.6667 0.5000 x1


(12)
The following is a DFT calculation (PBE) of a relaxed GdYNi2 crystal.

Results
Energy above the lowest structure with this stoichiometry   0.003 eV per atom
Energy of formation   -166 kJ/mol of formula units

Cell: 4.033 3.828 10.460 Å, 90.00 90.00 90.00°
Space group Amm2 (No. 38)
Inequivalent atoms, fractional coordinates:
Gd1 0.000 0.000 0.000 x2
Y1 0.500 0.000 0.720 x2
Ni1 0.000 0.000 0.289 x2
Ni2 0.500 0.000 0.432 x2


(13)
The following is a DFT calculation (PBE) of a relaxed LiAlCuRe crystal.

Results
Energy above the lowest structure with this stoichiometry   0.107 eV per atom

Cell: 5.946 5.946 5.946 Å, 90.00 90.00 90.00°
Space group F-43m (No. 216)
Inequivalent atoms, fractional coordinates:
Li1 0.000 0.000 0.000 x4
Al1 0.250 0.250 0.750 x4
Cu1 0.000 0.000 0.500 x4
Re1 0.250 0.250 0.250 x4


(14)
The following is a DFT calculation (PBE) of a relaxed NaNb4Tl3P2O17 crystal.

Results
Calculated total energy   -7.55 eV per atom

Cell: 7.382 21.406 9.891 Å, 90.00 90.00 90.00°
Space group Ama2 (No. 40)
Inequivalent atoms, fractional coordinates:
Na1 0.000 0.000 0.000 x4
Nb1 0.000 0.000 0.630 x4
Nb2 0.001 0.153 0.436 x8
Nb3 0.250 0.236 0.719 x4
Tl1 0.250 0.027 0.290 x4
Tl2 0.250 0.201 0.113 x4
Tl3 0.250 0.358 0.302 x4
P1 0.250 0.088 0.860 x4
P2 0.250 0.386 0.659 x4
O1 0.046 0.064 0.502 x8
O2 0.057 0.271 0.829 x8
O3 0.066 0.197 0.595 x8
O4 0.074 0.062 0.794 x8
O5 0.078 0.394 0.749 x8
O6 0.250 0.074 0.011 x4
O7 0.250 0.150 0.358 x4
O8 0.250 0.160 0.837 x4
O9 0.250 0.316 0.605 x4
O10 0.250 0.354 0.994 x4
O11 0.250 0.431 0.541 x4
O12 0.250 0.470 0.161 x4


(15)
The following is a DFT calculation (PBE) of a relaxed Li2AgHg crystal.

Results
Calculated total energy   -2.04 eV per atom

Cell: 9.071 4.536 6.440 Å, 90.00 90.00 90.00°
Space group Pnma (No. 62)
Inequivalent atoms, fractional coordinates:
Li1 0.125 0.250 0.000 x4
Li2 0.125 0.250 0.500 x4
Ag1 0.125 0.750 0.250 x4
Hg1 0.125 0.750 0.750 x4


(16)
The following is a DFT calculation (PBE) of a relaxed Ag2Cl3 crystal.

Results
Energy above the lowest structure with this stoichiometry   0.225 eV per atom

Cell: 5.005 5.005 5.005 Å, 90.00 90.00 90.00°
Space group Pm-3m (No. 221)
Inequivalent atoms, fractional coordinates:
Ag1 0.000 0.000 0.000 x1
Ag2 0.500 0.500 0.500 x1
Cl1 0.000 0.000 0.500 x3


(17)
The following is a DFT calculation (PBE) of a relaxed Si2TcBi crystal.

Results
Calculated total energy   -5.62 eV per atom

Cell: 6.570 6.570 6.570 Å, 90.00 90.00 90.00°
Space group F-43m (No. 216)
Inequivalent atoms, fractional coordinates:
Si1 0.000 0.000 0.000 x4
Si2 0.250 0.250 0.250 x4
Tc1 0.000 0.000 0.500 x4
Bi1 0.250 0.250 0.750 x4